Entry 1:
Hf5MoN6 | PBE | relaxed

Geometry as POSCAR:
```
Hf5MoN6
1.0
-2.921 -4.544 1.197
5.408 0.193 1.151
-1.889 3.359 3.925
N Hf Mo
6 5 1
Cartesian
1.376 -2.395 2.719 N
-1.273 -1.064 1.611 N
-0.980 -1.550 4.677 N
1.871 0.073 4.662 N
1.578 0.558 1.596 N
-0.779 1.403 3.553 N
-0.143 -2.964 1.182 Hf
-2.538 -2.109 3.152 Hf
0.741 1.972 5.091 Hf
0.299 -0.496 3.136 Hf
3.136 1.117 3.121 Hf
0.000 0.000 0.000 Mo
```

**Density of states at the Fermi level**: 4.7 states/eV/f.u.
**Space group**: No. 12
**Uncorrected formation energy**: -1.513 eV/atom
**Uncorrected energy**: -10.726 eV per atom

***

Entry 2:
Dy4Al12Co | PBE | relaxed

Geometry as POSCAR:
```
Dy4Al12Co
1.0
7.007 0.000 -2.477
-3.503 6.068 -2.477
0.000 0.000 7.432
Al Co Dy
12 1 4
Cartesian
-0.972 1.684 1.375 Al
4.379 1.517 1.239 Al
2.531 4.383 -3.579 Al
-0.876 4.551 1.239 Al
0.972 1.684 -1.375 Al
2.627 1.517 3.716 Al
1.945 0.000 1.375 Al
3.503 3.034 -1.239 Al
0.000 3.034 3.716 Al
0.876 4.551 -1.239 Al
5.062 0.000 3.579 Al
-2.531 4.383 3.579 Al
0.000 0.000 0.000 Co
0.000 0.000 3.716 Dy
1.752 3.034 1.239 Dy
-1.752 3.034 -1.239 Dy
3.503 0.000 -1.239 Dy
```

**Density of states at the Fermi level**: 9.0 states/eV/f.u.
**Formation energy**: -0.479 eV/atom
**Space group**: No. 229
**Uncorrected energy**: -4.621 eV per atom

***

Entry 3:
La2ZnIn2 | PBE | relaxed

Geometry as POSCAR:
```
La2ZnIn2
1.0
-6.203 1.533 3.856
-3.895 0.241 -6.362
-0.987 -5.035 0.414
In La Zn
4 4 2
Cartesian
-4.527 1.017 1.574 In
-2.273 0.303 -1.738 In
-5.571 0.757 -4.080 In
-7.825 1.471 -0.767 In
-6.952 -1.161 1.302 La
-7.877 -1.293 -2.514 La
-3.208 -1.968 0.422 La
-4.134 -2.100 -3.394 La
0.000 0.000 0.000 Zn
-5.049 0.887 -1.253 Zn
```

**Density of states at the Fermi level**: 2.7 states/eV/f.u.
**Formation energy**: -0.369 eV/atom
**Space group**: No. 127
**Excess energy over the best structure of this formula in the dataset**: 0.101 eV per atom
**Uncorrected energy**: -3.690 eV per atom

***

Entry 4:
La3BeCl | PBE | relaxed

Geometry as POSCAR:
```
La3BeCl
1.0
-3.064 1.407 4.235
3.060 -3.077 3.236
3.249 4.225 0.946
Cl Be La
1 1 3
Cartesian
0.000 0.000 0.000 Cl
1.622 1.277 4.208 Be
-1.532 0.704 2.117 La
1.624 2.112 0.473 La
1.530 -1.539 1.618 La
```

**Density of states at the Fermi level**: 5.5 states/eV/f.u.
**Space group**: No. 221
**Excess energy over the best structure of this formula in the dataset**: 0.000 eV per atom
**Uncorrected formation energy**: -0.148 eV/atom
**Uncorrected energy**: -4.219 eV per atom

***

Entry 5:
MnCrCd | PBE | relaxed

Geometry as POSCAR:
```
MnCrCd
1.0
-1.142 2.603 0.486
-1.473 -1.960 -1.519
-2.702 -2.207 5.467
Mn Cr Cd
1 1 1
Cartesian
-2.939 -0.296 3.231 Mn
-2.383 -1.272 1.214 Cr
-2.696 -2.202 5.456 Cd
```

**Density of states at the Fermi level**: 2.0 states/eV/f.u.
**Formation energy**: 0.398 eV/atom
**Space group**: No. 156
**Excess energy over the best structure of this formula in the dataset**: 0.150 eV per atom
**Uncorrected energy**: -6.172 eV per atom

***

Entry 6:
TiCr2SnTe | PBE | relaxed

Geometry as POSCAR:
```
TiCr2SnTe
1.0
-4.273 -2.002 -1.546
2.986 -3.785 -3.350
0.145 -3.225 3.773
Ti Cr Te Sn
1 2 1 1
Cartesian
-0.571 -4.506 -0.562 Ti
-2.136 -1.001 -0.773 Cr
0.073 -1.612 1.886 Cr
0.000 0.000 0.000 Te
1.493 -1.892 -1.675 Sn
```

**Density of states at the Fermi level**: 3.6 states/eV/f.u.
**Space group**: No. 123
**Uncorrected formation energy**: 1.213 eV/atom
**Uncorrected energy**: -5.644 eV per atom

***

Entry 7:
TcAgN2O | PBE | relaxed

Geometry as POSCAR:
```
TcAgN2O
1.0
-3.651 -0.521 1.640
-1.613 -0.304 -3.687
0.597 -3.975 0.066
Tc Ag O N
1 1 1 2
Cartesian
-2.334 -2.400 -0.990 Tc
0.000 0.000 0.000 Ag
0.298 -1.988 0.033 O
-1.825 -0.260 0.820 N
-0.807 -0.152 -1.844 N
```

**Density of states at the Fermi level**: 3.3 states/eV/f.u.
**Space group**: No. 123
**Uncorrected formation energy**: 2.007 eV/atom
**Uncorrected energy**: -4.958 eV per atom

***

Entry 8:
GeSbTePd | PBE | relaxed

Geometry as POSCAR:
```
GeSbTePd
1.0
4.091 0.000 -0.042
0.000 4.020 0.000
-4.108 0.000 11.408
Te Sb Ge Pd
2 2 2 2
Cartesian
-1.322 2.010 7.266 Te
0.732 0.000 1.562 Te
-1.272 2.010 3.905 Sb
-3.326 0.000 9.609 Sb
0.550 0.000 6.715 Ge
2.604 2.010 1.011 Ge
-1.312 2.010 9.901 Pd
0.742 0.000 4.197 Pd
```

**Density of states at the Fermi level**: 1.6 states/eV/f.u.
**Space group**: No. 8
**Excess energy over the best structure of this formula in the dataset**: 0.000 eV per atom
**Uncorrected formation energy**: -0.147 eV/atom
**Uncorrected energy**: -4.416 eV per atom

***

uncorrected energy of number 7 (TcAgN2O)? -4.958 eV per atom